Entry from Alexandria via LeMat-Bulk: an optimized crystal structure of La2Tb4PrSm (PBE).

CIF file:
```
data_La2Tb4PrSm
_symmetry_space_group_name_H-M 'P 1 2/m 1'
_symmetry_Int_Tables_number 10
_cell_length_a 6.304
_cell_length_b 3.651
_cell_length_c 11.961
_cell_angle_alpha 90.00
_cell_angle_beta 100.23
_cell_angle_gamma 90.00
loop_
_symmetry_equiv_pos_as_xyz
'x,y,z'
'-x,-y,-z'
'-x,y,-z'
'x,-y,z'
loop_
_atom_site_label
_atom_site_type_symbol
_atom_site_fract_x
_atom_site_fract_y
_atom_site_fract_z
La1 La 0.000 0.000 0.000
La2 La 0.000 0.500 0.500
Tb1 Tb 0.250 0.000 0.749
Tb2 Tb 0.251 0.500 0.251
Pr1 Pr 0.500 0.500 0.000
Sm1 Sm 0.500 0.000 0.500
```

Output
Energy of formation   0.0156 eV per atom
DOS(E_F)   11.274 states/eV/f.u.